A relaxed CeHo14Pu crystal, computed with GGA-PBE.

The structure in POSCAR format:
```
CeHo14Pu
1.0
6.974 0.936 0.000
-0.936 6.974 0.000
0.000 0.000 9.919
Ho Pu Ce
14 1 1
Cartesian
4.001 3.205 2.463
0.525 2.738 2.462
5.985 1.690 4.959
2.498 1.223 4.959
5.517 5.177 0.000
0.059 6.214 7.457
3.535 6.680 2.462
0.059 6.214 2.462
2.030 4.710 4.959
3.535 6.680 7.456
4.001 3.205 7.456
2.498 1.222 0.000
5.517 5.177 4.959
0.525 2.738 7.456
2.031 4.709 0.000
5.985 1.690 0.000
```

Uncorrected energy   -83.5 eV for the cell shown
Calculated volume   30.69 Å³ per atom

A relaxed MnOsPt2 crystal, computed with GGA-PBE.

The structure in POSCAR format:
```
MnOsPt2
1.0
-3.921 4.674 6.689
-3.330 2.351 8.083
-1.412 4.336 7.821
Os Pt Mn
1 2 1
Cartesian
-6.498 8.521 16.945
-8.649 11.342 22.555
-4.346 5.700 11.335
-2.166 2.840 5.648
```

Uncorrected energy   -32.5 eV for the cell shown
Calculated volume   14.83 Å³ per atom

A relaxed Ce2PuOsN5 crystal, computed with GGA-PBE.

The structure in POSCAR format:
```
Ce2PuOsN5
1.0
6.553 0.000 0.000
0.000 6.553 0.000
-3.277 -3.277 5.831
N Ce Os Pu
10 4 2 2
Cartesian
2.281 -0.996 4.185
3.277 3.277 0.000
0.000 0.000 0.000
4.272 5.557 1.646
-0.996 -2.281 4.185
5.557 2.281 1.646
-2.281 0.996 4.185
0.996 2.281 4.185
2.281 0.996 1.646
0.996 4.272 1.646
1.147 2.129 0.000
4.424 1.147 0.000
2.129 5.406 0.000
5.406 4.424 0.000
0.000 3.277 2.916
3.277 0.000 2.916
3.277 3.277 2.916
0.000 0.000 2.916
```

Uncorrected formation energy   -0.849 eV per atom
Calculated volume   13.91 Å³ per atom